1.
VASP calculation (GGA-PBE) on an optimized crystal structure of La2BeIn.

polymorph energy (0 for the lowest one)	279	meV/atom
energy	-3.99	eV per atom

Geometry as extended XYZ:
```
4
Lattice="-0.6880 2.1012 2.5913 -2.3746 -2.1668 1.1265 6.2790 -4.2308 5.0978" Properties=species:S:1:pos:R:3 pbc="T T T"
La 0.4369 -1.3590 3.4569
La 6.0494 -4.0760 4.9114
Be 3.3501 -2.2573 2.7199
In 2.7985 -2.9502 5.3742
```



2.
VASP calculation (GGA-PBE) on an optimized crystal structure of LaBe2In.

energy	-3.63	eV per atom

Geometry as extended XYZ:
```
4
Lattice="-1.1522 -1.1336 -6.0638 1.5941 -5.0676 -3.3407 -2.6987 2.0384 5.2862" Properties=species:S:1:pos:R:3 pbc="T T T"
Be -1.7696 -1.7348 -3.7058
Be 0.4149 -5.8217 -8.8290
In 0.2138 -2.9998 -4.5494
La -0.4530 -2.9082 -1.1408
```



3.
VASP calculation (GGA-PBE) on an optimized crystal structure of LaBe2In2.

energy	-3.69	eV per atom

Geometry as extended XYZ:
```
5
Lattice="4.3993 0.0000 0.0000 0.0000 4.3993 0.0000 2.1997 2.1997 5.2852" Properties=species:S:1:pos:R:3 pbc="T T T"
In 4.3993 4.3993 3.8600
In 2.1997 2.1997 1.4252
Be 4.3993 2.1997 2.6426
Be 2.1997 4.3993 2.6426
La 0.0000 0.0000 0.0000
```



4.
VASP calculation (GGA-PBE) on an optimized crystal structure of La2BeIn.

polymorph energy (0 for the lowest one)	332	meV/atom
energy	-3.94	eV per atom

Geometry as extended XYZ:
```
4
Lattice="-3.1810 3.8546 0.8304 -4.2452 1.7495 -2.1411 -4.8834 -2.9692 3.8521" Properties=species:S:1:pos:R:3 pbc="T T T"
In -3.0774 0.6587 0.6354
Be -9.2322 1.9762 1.9061
La -4.8044 -2.8113 3.7120
La -6.2338 1.1596 1.4108
```



5.
VASP calculation (GGA-PBE) on an optimized crystal structure of La2BeIn.

polymorph energy (0 for the lowest one)	27	meV/atom
energy	-4.24	eV per atom

Geometry as extended XYZ:
```
8
Lattice="5.9167 0.0003 -0.0056 0.4105 6.3169 0.0015 2.6112 1.8313 5.6287" Properties=species:S:1:pos:R:3 pbc="T T T"
La 3.1927 6.2272 2.7973
La 5.8025 4.8054 0.6075
La 5.7457 1.9213 2.8273
La 3.1358 3.3431 5.0172
Be 5.4289 7.1727 5.4939
Be 3.5094 0.9758 0.1307
In 2.8263 3.1281 1.5188
In 6.1121 5.0204 4.1058
```



6.
VASP calculation (GGA-PBE) on an optimized crystal structure of La2BeIn.

polymorph energy (0 for the lowest one)	304	meV/atom
energy	-3.96	eV per atom

Geometry as extended XYZ:
```
4
Lattice="-0.7773 7.4634 6.3985 -3.9320 7.8871 4.4249 -3.8168 5.4576 7.2728" Properties=species:S:1:pos:R:3 pbc="T T T"
La -8.4136 20.5335 17.8573
La -4.3756 10.6786 9.2868
In -6.3946 15.6061 13.5721
Be -2.1315 5.2020 4.5240
```